# 1
Below is crystalline La5Cu5Ni2 at its relaxed geometry, with properties calculated at the PBE-GGA level.

abc: 8.086 8.086 11.507
angles: 130.47 130.47 29.08
Element x y z (fractional)
La1 0.000 0.000 0.000
La2 0.302 0.302 0.409
La3 0.383 0.383 0.185
La4 0.617 0.617 0.815
La5 0.698 0.698 0.591
Cu1 0.000 0.000 0.500
Cu2 0.067 0.067 0.332
Cu3 0.290 0.290 0.851
Cu4 0.710 0.710 0.149
Cu5 0.933 0.933 0.668
Ni1 0.387 0.387 0.739
Ni2 0.613 0.613 0.261

Computed properties:
The electronic total energy comes out at -4.936 eV per atom. For the total moment, the calculation gives 0.00 μB per formula unit. Its crystal system is monoclinic. As for the space-group type: C2/m.



# 2
Below is crystalline CaTa2HIr at its relaxed geometry, with properties calculated at the PBE-GGA level.

abc: 4.080 4.080 4.694
angles: 90.00 90.00 90.00
Element x y z (fractional)
Ca1 0.000 0.000 0.000
Ta1 0.000 0.500 0.500
Ta2 0.500 0.000 0.500
H1 0.000 0.000 0.500
Ir1 0.500 0.500 0.000

Computed properties:
The electronic total energy comes out at -7.416 eV per atom. For the total moment, the calculation gives 0.00 μB per formula unit. Its crystal system is tetragonal. As for the space-group type: P4/mmm.



# 3
Below is crystalline RbCd3Rh at its relaxed geometry, with properties calculated at the PBE-GGA level.

abc: 7.633 7.633 7.633
angles: 129.40 117.67 84.32
Element x y z (fractional)
Rb1 0.000 0.000 0.000
Rb2 0.500 0.000 0.500
Cd1 0.000 0.000 0.500
Cd2 0.000 0.500 0.000
Cd3 0.214 0.646 0.568
Cd4 0.422 0.354 0.068
Cd5 0.578 0.646 0.932
Cd6 0.786 0.354 0.432
Rh1 0.189 0.439 0.750
Rh2 0.811 0.561 0.250

Computed properties:
The electronic total energy comes out at -2.224 eV per atom. Its offset from the most stable computed form is 96 meV/atom. For the total moment, the calculation gives 0.00 μB per formula unit. Its crystal system is orthorhombic. As for the space-group type: Imma.



# 4
Below is crystalline Tb2PrHo6Sc at its relaxed geometry, with properties calculated at the PBE-GGA level.

abc: 8.696 8.696 9.391
angles: 93.47 93.47 117.14
Element x y z (fractional)
Tb1 0.193 0.297 0.451
Tb2 0.297 0.193 0.951
Tb3 0.703 0.807 0.049
Tb4 0.807 0.703 0.549
Pr1 0.476 0.524 0.750
Pr2 0.524 0.476 0.250
Ho1 0.010 0.793 0.885
Ho2 0.062 0.505 0.688
Ho3 0.207 0.990 0.615
Ho4 0.251 0.627 0.057
Ho5 0.373 0.749 0.443
Ho6 0.495 0.938 0.812
Ho7 0.505 0.062 0.188
Ho8 0.627 0.251 0.557
Ho9 0.749 0.373 0.943
Ho10 0.793 0.010 0.385
Ho11 0.938 0.495 0.312
Ho12 0.990 0.207 0.115
Sc1 0.086 0.914 0.250
Sc2 0.914 0.086 0.750

Computed properties:
The electronic total energy comes out at -4.656 eV per atom. For the total moment, the calculation gives 0.00 μB per formula unit. Its crystal system is monoclinic. As for the space-group type: C2/c.



# 5
Below is crystalline Ce4ZnSi2 at its relaxed geometry, with properties calculated at the PBE-GGA level.

abc: 9.379 9.379 9.379
angles: 29.90 29.90 29.90
Element x y z (fractional)
Ce1 0.119 0.119 0.119
Ce2 0.296 0.296 0.296
Ce3 0.704 0.704 0.704
Ce4 0.881 0.881 0.881
Zn1 0.500 0.500 0.500
Si1 0.408 0.408 0.408
Si2 0.592 0.592 0.592

Computed properties:
The electronic total energy comes out at -5.348 eV per atom. The uncorrected formation energy comes out at -0.226 eV/atom. For the total moment, the calculation gives 3.33 μB per formula unit. Its crystal system is trigonal. As for the space-group type: R-3m.



# 6
Below is crystalline Zn3NiSn at its relaxed geometry, with properties calculated at the PBE-GGA level.

abc: 5.100 5.100 5.100
angles: 90.00 90.00 90.00
Element x y z (fractional)
Zn1 0.000 0.000 0.500
Zn2 0.000 0.500 0.000
Zn3 0.500 0.000 0.000
Ni1 0.500 0.500 0.500
Sn1 0.000 0.000 0.000

Computed properties:
The electronic total energy comes out at -1.675 eV per atom. Its offset from the most stable computed form is 872 meV/atom. For the total moment, the calculation gives 0.00 μB per formula unit. Its crystal system is cubic. As for the space-group type: Pm-3m.



# 7
Below is crystalline Zr4TlSe at its relaxed geometry, with properties calculated at the PBE-GGA level.

abc: 5.819 5.819 5.819
angles: 60.00 60.00 60.00
Element x y z (fractional)
Zr1 0.124 0.124 0.124
Zr2 0.124 0.124 0.629
Zr3 0.124 0.629 0.124
Zr4 0.629 0.124 0.124
Tl1 0.750 0.750 0.750
Se1 0.500 0.500 0.500

Computed properties:
The electronic total energy comes out at -6.469 eV per atom. The uncorrected formation energy comes out at 0.205 eV/atom. For the total moment, the calculation gives 0.00 μB per formula unit. Its crystal system is cubic. As for the space-group type: F-43m.



# 8
Below is crystalline ErHfIrRu at its relaxed geometry, with properties calculated at the PBE-GGA level.

abc: 4.689 4.689 4.689
angles: 60.00 60.00 60.00
Element x y z (fractional)
Er1 0.000 0.000 0.000
Hf1 0.500 0.500 0.500
Ir1 0.250 0.250 0.250
Ru1 0.750 0.750 0.750

Computed properties:
The electronic total energy comes out at -8.945 eV per atom. Its offset from the most stable computed form is 27 meV/atom. For the total moment, the calculation gives 0.00 μB per formula unit. Its crystal system is cubic. As for the space-group type: F-43m.



- Which formula does entry 8 have?
  ErHfIrRu